(1)
Material: Li3HfH6
Method: DFT, PBE-GGA
State: relaxed

E = -3.655 eV/atom
crystal system = cubic

POSCAR file:
```
Li3HfH6
1.0
0.000 3.689 3.689
3.689 0.000 3.689
3.689 3.689 0.000
Li Hf H
3 1 6
direct
0.000 0.000 0.000
0.250 0.250 0.250
0.750 0.750 0.750
0.500 0.500 0.500
0.241 0.241 0.759
0.241 0.759 0.241
0.241 0.759 0.759
0.759 0.241 0.241
0.759 0.241 0.759
0.759 0.759 0.241
```



(2)
Material: KBaIr
Method: DFT, PBE-GGA
State: relaxed

crystal system = cubic
energy above the lowest structure with this stoichiometry = 0.00 eV/f.u.

POSCAR file:
```
KBaIr
1.0
0.000 3.730 3.730
3.730 0.000 3.730
3.730 3.730 0.000
K Ba Ir
1 1 1
direct
0.000 0.000 0.000
0.500 0.500 0.500
0.750 0.750 0.750
```



(3)
Material: K2DyO4
Method: DFT, PBE-GGA
State: relaxed

E = -5.124 eV/atom
crystal system = tetragonal

POSCAR file:
```
K2DyO4
1.0
-3.669 3.669 5.184
3.669 -3.669 5.184
3.669 3.669 -5.184
K Dy O
4 2 8
direct
0.000 0.000 0.000
0.000 0.000 0.500
0.000 0.500 0.000
0.500 0.000 0.500
0.375 0.625 0.750
0.625 0.375 0.250
0.256 0.743 0.513
0.257 0.269 0.513
0.257 0.744 0.987
0.269 0.257 0.013
0.731 0.743 0.987
0.743 0.256 0.013
0.743 0.731 0.487
0.744 0.257 0.487
```



(4)
Material: Tb3Si3Ni2
Method: DFT, PBE-GGA
State: relaxed

E = -5.972 eV/atom
crystal system = orthorhombic

POSCAR file:
```
Tb3Si3Ni2
1.0
2.079 -5.081 0.000
2.079 5.081 0.000
0.000 0.000 13.921
Tb Si Ni
6 6 4
direct
0.090 0.910 0.610
0.090 0.910 0.890
0.372 0.628 0.750
0.628 0.372 0.250
0.910 0.090 0.110
0.910 0.090 0.390
0.326 0.674 0.250
0.380 0.620 0.538
0.380 0.620 0.962
0.620 0.380 0.038
0.620 0.380 0.462
0.674 0.326 0.750
0.202 0.798 0.096
0.202 0.798 0.404
0.798 0.202 0.596
0.798 0.202 0.904
```



(5)
Material: CuAg4
Method: DFT, PBE-GGA
State: relaxed

crystal system = monoclinic
energy above the lowest structure with this stoichiometry = 0.15 eV/f.u.

POSCAR file:
```
CuAg4
1.0
7.522 -1.455 0.000
7.522 1.455 0.000
-2.147 0.000 7.699
Cu Ag
2 8
direct
0.205 0.205 0.093
0.795 0.795 0.907
0.000 0.000 0.000
0.000 0.000 0.500
0.203 0.203 0.610
0.394 0.394 0.185
0.396 0.396 0.706
0.604 0.604 0.294
0.606 0.606 0.815
0.797 0.797 0.390
```



(6)
Material: DyLuZn2Ge2
Method: DFT, PBE-GGA
State: relaxed

crystal system = hexagonal
energy above the lowest structure with this stoichiometry = 0.00 eV/f.u.

POSCAR file:
```
DyLuZn2Ge2
1.0
4.213 0.000 0.000
-2.106 3.648 0.000
0.000 0.000 15.382
Dy Lu Zn Ge
2 2 4 4
direct
0.000 0.000 0.000
0.000 0.000 0.500
0.000 0.000 0.250
0.000 0.000 0.750
0.333 0.667 0.151
0.333 0.667 0.349
0.667 0.333 0.651
0.667 0.333 0.849
0.333 0.667 0.614
0.333 0.667 0.886
0.667 0.333 0.114
0.667 0.333 0.386
```